Here is crystalline LaPuFeO6 at its relaxed geometry from Alexandria via LeMat-Bulk. Energies are from GGA+U.

Output
Its total energy is -8.584 eV/atom. The calculation puts the density at 6.720 g/cm3. The space group is P-31c, No. 163.

Cell: 5.408 5.408 10.435 Å, 90.00 90.00 120.00°
Positions (direct):
La (0.000, 0.000, 0.000)
La (0.000, 0.000, 0.500)
Pu (0.333, 0.667, 0.250)
Pu (0.667, 0.333, 0.750)
Fe (0.333, 0.667, 0.750)
Fe (0.667, 0.333, 0.250)
O (0.003, 0.363, 0.643)
O (0.003, 0.640, 0.857)
O (0.360, 0.363, 0.857)
O (0.360, 0.997, 0.643)
O (0.363, 0.003, 0.143)
O (0.363, 0.360, 0.357)
O (0.637, 0.640, 0.643)
O (0.637, 0.997, 0.857)
O (0.640, 0.003, 0.357)
O (0.640, 0.637, 0.143)
O (0.997, 0.360, 0.143)
O (0.997, 0.637, 0.357)